DFT (PBE) results for a relaxed RbLiGe2 crystal.

The structure belongs to space group Fm-3m (No. 225); the cell edges are 7.4098, 7.4098 and 7.4098 Å and the angles 90.00°, 90.00° and 90.00°. Symmetry generates all atoms from Rb at (0.0000, 0.0000, 0.0000), Li at (0.0000, 0.0000, 0.5000) and Ge at (0.2500, 0.2500, 0.2500).

The polymorph energy (0 for the lowest one) comes out at 323.4 meV/atom. For the energy of formation, the calculation gives 1.48 eV per formula unit. The final energy comes out at -42.5 eV/cell.

DFT (PBE) results for a relaxed Rb2ScOsI6 crystal.

The structure belongs to space group I4/mmm (No. 139); the cell edges are 8.0755, 8.0755 and 11.4460 Å and the angles 90.00°, 90.00° and 90.00°. Symmetry generates all atoms from Rb at (0.0000, 0.5000, 0.2500), Sc at (0.0000, 0.0000, 0.0000), Os at (0.0000, 0.0000, 0.5000), I at (0.0000, 0.0000, 0.2576) and I at (0.2422, 0.2422, 0.5000).

The final energy comes out at -70.2 eV/cell. The formation energy without anion corrections is -0.6312 eV/atom.

DFT (PBE) results for a relaxed LaMg2Ga crystal.

The structure belongs to space group P4/mmm (No. 123); the cell edges are 4.5276, 4.5276 and 4.9712 Å and the angles 90.00°, 90.00° and 90.00°. Symmetry generates all atoms from La at (0.0000, 0.0000, 0.0000), Mg at (0.0000, 0.5000, 0.5000) and Ga at (0.5000, 0.5000, 0.0000).

The polymorph energy (0 for the lowest one) comes out at 79.6 meV/atom. For the energy of formation, the calculation gives -1.01 eV per formula unit. The final energy comes out at -12.1 eV/cell.

DFT (PBE) results for a relaxed FeSb2TeAu crystal.

The structure belongs to space group P4/mmm (No. 123); the cell edges are 4.8141, 4.8141 and 5.2468 Å and the angles 90.00°, 90.00° and 90.00°. Symmetry generates all atoms from Fe at (0.0000, 0.0000, 0.0000), Sb at (0.0000, 0.5000, 0.0000), Te at (0.0000, 0.0000, 0.5000) and Au at (0.5000, 0.5000, 0.5000).

The polymorph energy (0 for the lowest one) comes out at 0.0 meV/atom. The final energy comes out at -20.8 eV/cell. The formation energy without anion corrections is 0.4568 eV/atom.

DFT (PBE) results for a relaxed PuMoH3 crystal.

The structure belongs to space group Pm-3m (No. 221); the cell edges are 3.7145, 3.7145 and 3.7145 Å and the angles 90.00°, 90.00° and 90.00°. Symmetry generates all atoms from Pu at (0.0000, 0.0000, 0.0000), Mo at (0.5000, 0.5000, 0.5000) and H at (0.0000, 0.5000, 0.5000).

The final energy comes out at -35.8 eV/cell.

DFT (PBE) results for a relaxed Sc2AsPb crystal.

The structure belongs to space group I-42d (No. 122); the cell edges are 7.6023, 7.6023 and 6.6018 Å and the angles 90.00°, 90.00° and 90.00°. Symmetry generates all atoms from Sc at (0.2175, 0.7500, 0.1250), As at (0.0000, 0.0000, 0.0000) and Pb at (0.0000, 0.0000, 0.5000).

The polymorph energy (0 for the lowest one) comes out at 311.1 meV/atom. For the energy of formation, the calculation gives -2.27 eV per formula unit. The final energy comes out at -93.1 eV/cell.

DFT (PBE) results for a relaxed Ni2HgSb crystal.

The structure belongs to space group R3m (No. 160, hexagonal axes); the cell edges are 3.9590, 3.9590 and 16.9773 Å and the angles 90.00°, 90.00° and 120.00°. Symmetry generates all atoms from Ni at (0.0000, 0.0000, 0.0000), Ni at (0.0000, 0.0000, 0.3003), Hg at (0.0000, 0.0000, 0.5416) and Sb at (0.0000, 0.0000, 0.7344).

The final energy comes out at -46.0 eV/cell. The formation energy without anion corrections is 0.1617 eV/atom.

DFT (PBE) results for a relaxed LaPmAg4 crystal.

The structure belongs to space group F-43m (No. 216); the cell edges are 8.2233, 8.2233 and 8.2233 Å and the angles 90.00°, 90.00° and 90.00°. Symmetry generates all atoms from La at (0.0000, 0.0000, 0.0000), Pm at (0.2500, 0.2500, 0.2500) and Ag at (0.1248, 0.1248, 0.6248).

The polymorph energy (0 for the lowest one) comes out at 112.5 meV/atom. For the energy of formation, the calculation gives -0.95 eV per formula unit. The final energy comes out at -88.1 eV/cell.

DFT (PBE) results for a relaxed TeAs crystal.

The structure belongs to space group P4/nmm (No. 129, origin choice 2); the cell edges are 3.7628, 3.7628 and 8.2677 Å and the angles 90.00°, 90.00° and 90.00°. Symmetry generates all atoms from Te at (0.2500, 0.2500, 0.1651) and As at (0.2500, 0.2500, 0.4762).

The final energy comes out at -14.9 eV/cell. The formation energy without anion corrections is 0.1647 eV/atom.

DFT (PBE) results for a relaxed BaSn2HgPb2 crystal.

The structure belongs to space group I4/mmm (No. 139); the cell edges are 6.1184, 6.1184 and 12.4681 Å and the angles 90.00°, 90.00° and 90.00°. Symmetry generates all atoms from Ba at (0.0000, 0.0000, 0.0000), Sn at (0.0000, 0.0000, 0.2820), Hg at (0.0000, 0.0000, 0.5000) and Pb at (0.0000, 0.5000, 0.2500).

For the energy of formation, the calculation gives -0.30 eV per formula unit. The final energy comes out at -35.9 eV/cell.

DFT (PBE) results for a relaxed Sm2Dy2Ga4Cu crystal.

The structure belongs to space group I4/mmm (No. 139); the cell edges are 6.9964, 6.9964 and 8.6206 Å and the angles 90.00°, 90.00° and 90.00°. Symmetry generates all atoms from Sm at (0.0000, 0.0000, 0.1899), Dy at (0.0000, 0.5000, 0.2500), Ga at (0.2380, 0.2380, 0.5000) and Cu at (0.0000, 0.0000, 0.5000).

For the energy of formation, the calculation gives -2.85 eV per formula unit. The final energy comes out at -75.4 eV/cell.

DFT (PBE) results for a relaxed Na3Ce2PrSe6 crystal.

The structure belongs to space group C2/m (No. 12); the cell edges are 7.4606, 12.9217 and 7.4059 Å and the angles 90.00°, 109.62° and 90.00°. Symmetry generates all atoms from Na at (0.0000, 0.0000, 0.0000), Na at (0.0000, 0.3340, 0.0000), Ce at (0.0000, 0.1667, 0.5000), Pr at (0.0000, 0.5000, 0.5000), Se at (0.2436, 0.0000, 0.7367) and Se at (0.2466, 0.3324, 0.7365).

The final energy comes out at -122.3 eV/cell. The formation energy without anion corrections is -1.6386 eV/atom.